(1)
BaPaNiS3: relaxed, PBE.

Unit cell a=7.1294 b=7.1294 c=10.2189 alpha=90.00 beta=90.00 gamma=148.09
Positions (direct):
Ba: 0.2432 0.7568 0.7500
Ba: 0.7568 0.2432 0.2500
Pa: 0.5000 0.5000 0.0000
Pa: 0.5000 0.5000 0.5000
Ni: 0.0290 0.9710 0.2500
Ni: 0.9710 0.0290 0.7500
S: 0.1304 0.8696 0.0710
S: 0.1304 0.8696 0.4290
S: 0.4388 0.5612 0.2500
S: 0.5612 0.4388 0.7500
S: 0.8696 0.1304 0.5710
S: 0.8696 0.1304 0.9290

## Properties
* total energy: -77.9 eV per cell
* raw formation energy: -905 kJ/mol of formula units

(2)
KScIr2: relaxed, PBE.

Unit cell a=4.0950 b=4.4633 c=6.2585 alpha=90.00 beta=109.01 gamma=90.00
Positions (direct):
K: 0.0000 0.0000 0.0000
Sc: 0.7244 0.5000 0.4474
Ir: 0.2786 0.0000 0.5555
Ir: 0.3527 0.5000 0.7049

## Properties
* energy above the most stable polymorph in this dataset: 0.76 eV/f.u.
* total energy: -24.5 eV per cell

(3)
SrCaMg2Tl2: relaxed, PBE.

Unit cell a=5.1153 b=5.1153 c=7.8035 alpha=90.00 beta=90.00 gamma=120.00
Positions (direct):
Sr: 0.0000 0.0000 0.0000
Ca: 0.0000 0.0000 0.5000
Mg: 0.3333 0.6667 0.7133
Mg: 0.6667 0.3333 0.2867
Tl: 0.3333 0.6667 0.2732
Tl: 0.6667 0.3333 0.7268

## Properties
* total energy: -13.3 eV per cell

(4)
Na2Mg2TaO6: relaxed, PBE.

Unit cell a=5.3520 b=5.3520 c=5.8586 alpha=99.81 beta=99.81 gamma=119.42
Positions (direct):
Na: 0.1725 0.8275 0.0000
Na: 0.8275 0.1725 0.0000
Mg: 0.3385 0.6615 0.5000
Mg: 0.6615 0.3385 0.5000
Ta: 0.0000 0.0000 0.5000
O: 0.0616 0.3859 0.6940
O: 0.2421 0.2421 0.3065
O: 0.3859 0.0616 0.6940
O: 0.6141 0.9384 0.3060
O: 0.7579 0.7579 0.6935
O: 0.9384 0.6141 0.3060

## Properties
* total energy: -72.6 eV per cell
* raw formation energy: -2429 kJ/mol of formula units

> Which formula does entry 4 have?

Na2Mg2TaO6